No. 1
A plane-wave DFT calculation with PBE was carried out for crystalline NaTc2AgSb at its relaxed geometry.

Lattice parameters (Å, degrees): 4.731 5.020 4.731 90.00 90.00 90.00
Site moments in Bohr magnetons follow the coordinates.
Fractional coordinates of all 5 atoms:
Sb 0.000 0.500 0.000  -0.06
Tc 0.000 0.000 0.500  2.33
Na 0.000 0.000 0.000  0.03
Tc 0.500 0.000 0.000  2.51
Ag 0.500 0.500 0.500  0.02

Computed properties:
- SG: P4/mmm, No. 123
- Final energy: -18.74 eV for the cell shown

No. 2
A plane-wave DFT calculation with PBE was carried out for crystalline Na4AgSb3Te8 at its relaxed geometry.

Lattice parameters (Å, degrees): 8.647 9.150 8.751 117.80 119.61 90.00
Fractional coordinates of all 16 atoms:
Te 0.264 0.749 0.527
Te 0.762 0.712 0.982
Na 0.500 0.000 0.500
Te 0.741 0.731 0.483
Ag 0.000 0.500 0.000
Sb 0.500 0.500 0.500
Na 0.500 0.000 0.000
Sb 0.000 0.500 0.500
Sb 0.500 0.500 0.000
Na 0.000 0.000 0.000
Te 0.220 0.712 0.982
Te 0.238 0.288 0.018
Te 0.259 0.269 0.517
Te 0.736 0.251 0.473
Na 0.000 0.000 0.500
Te 0.780 0.288 0.018

Computed properties:
- SG: C2/m, No. 12
- Final energy: -51.83 eV for the cell shown

No. 3
A plane-wave DFT calculation with PBE was carried out for crystalline NaAgSbTe2 at its relaxed geometry.

Lattice parameters (Å, degrees): 4.357 7.995 8.734 95.85 90.00 90.00
Fractional coordinates of all 10 atoms:
Na 0.933 0.500 0.250
Sb 0.502 0.000 0.750
Te 0.576 0.278 0.523
Ag 0.000 0.000 0.000
Sb 0.498 0.000 0.250
Te 0.576 0.722 0.977
Ag 0.000 0.000 0.500
Te 0.424 0.722 0.477
Na 0.067 0.500 0.750
Te 0.424 0.278 0.023

Computed properties:
- SG: P2/c, No. 13
- Final energy: -31.27 eV for the cell shown
- Energy above the lowest structure with this stoichiometry: 0.000 eV/atom